Below is crystalline ZrCr2CuO at its relaxed geometry, with properties calculated at the PBE+U level.

Summary:
E, eV/atom: -5.53
Crystal system: tetragonal

```
ZrCr2CuO
1.0
-2.1228 -3.6988 1.6633
4.3763 -2.2777 0.5203
0.3757 1.6899 4.2376
Cu O Cr Zr
1 1 2 1
Cartesian
0.0000 0.0000 0.0000
1.3146 -2.1433 3.2106
0.1879 0.8450 2.1188
-1.0614 -1.8494 0.8316
2.1881 -1.1388 0.2602
```